[1]
Compound: Li2Zn15Ga2
Source: the Alexandria database
Functional: GGA-PBE
Structure: relaxed

Results
Spin magnetization   0.00 μB/f.u.
VASP energy   -29.77 eV/cell

a b c (Å): 6.790 6.790 6.790
angles (deg): 83.35 83.35 83.35
Element x y z (fractional)
Li 0.151 0.151 0.151
Li 0.849 0.849 0.849
Zn 0.000 0.500 0.500
Zn 0.160 0.160 0.671
Zn 0.160 0.671 0.160
Zn 0.169 0.500 0.831
Zn 0.169 0.831 0.500
Zn 0.329 0.840 0.840
Zn 0.500 0.000 0.500
Zn 0.500 0.169 0.831
Zn 0.500 0.500 0.000
Zn 0.500 0.831 0.169
Zn 0.671 0.160 0.160
Zn 0.831 0.169 0.500
Zn 0.831 0.500 0.169
Zn 0.840 0.329 0.840
Zn 0.840 0.840 0.329
Ga 0.400 0.400 0.400
Ga 0.600 0.600 0.600


[2]
Compound: Li2ZnGa6
Source: the Alexandria database
Functional: GGA-PBE
Structure: relaxed

Results
E above lowest polymorph   0.07 eV per formula unit
Spin magnetization   0.00 μB/f.u.
VASP energy   -24.28 eV/cell

a b c (Å): 7.660 7.660 3.142
angles (deg): 90.00 90.00 120.00
Element x y z (fractional)
Li 0.333 0.667 0.000
Li 0.667 0.333 0.000
Zn 0.000 0.000 0.000
Ga 0.000 0.332 0.500
Ga 0.000 0.668 0.500
Ga 0.332 0.000 0.500
Ga 0.332 0.332 0.500
Ga 0.668 0.000 0.500
Ga 0.668 0.668 0.500


[3]
Compound: LiZn6Ga12
Source: the Alexandria database
Functional: GGA-PBE
Structure: relaxed

Results
E above lowest polymorph   0.00 eV per formula unit
Spin magnetization   0.00 μB/f.u.
VASP energy   -46.06 eV/cell

a b c (Å): 7.328 7.328 7.328
angles (deg): 105.94 105.94 105.94
Element x y z (fractional)
Li 0.000 0.000 0.000
Zn 0.149 0.412 0.268
Zn 0.268 0.149 0.412
Zn 0.412 0.268 0.149
Zn 0.588 0.732 0.851
Zn 0.732 0.851 0.588
Zn 0.851 0.588 0.732
Ga 0.091 0.711 0.142
Ga 0.142 0.091 0.711
Ga 0.155 0.454 0.642
Ga 0.289 0.858 0.909
Ga 0.358 0.845 0.546
Ga 0.454 0.642 0.155
Ga 0.546 0.358 0.845
Ga 0.642 0.155 0.454
Ga 0.711 0.142 0.091
Ga 0.845 0.546 0.358
Ga 0.858 0.909 0.289
Ga 0.909 0.289 0.858


- Among the records above, which one has the highest VASP energy?
  Li2ZnGa6


- What is the VASP energy in the third record?
  -46.06 eV/cell


- VASP energy of number 2 (Li2ZnGa6)?
  -24.28 eV/cell


- Which of these has the highest VASP energy?
  Li2ZnGa6